1.
# CaFeC2 | Alexandria | PBE-GGA | relaxed
# DFT formation energy ... 650 meV per atom
data_CaFeC2
_space_group_name_H-M_alt 'R -3 m'
_space_group_IT_number 166
_space_group_name_Hall '-R 3 2"'
_cell_length_a 3.2670
_cell_length_b 3.2670
_cell_length_c 14.4349
_cell_angle_alpha 90.00
_cell_angle_beta 90.00
_cell_angle_gamma 120.00
loop_
_atom_site_label
_atom_site_type_symbol
_atom_site_fract_x
_atom_site_fract_y
_atom_site_fract_z
Ca1 Ca 0.0000 0.0000 0.0000
Fe1 Fe 0.0000 0.0000 0.5000
C1 C 0.0000 0.0000 0.2143

2.
# MgH3Pd3 | Alexandria | PBE-GGA | relaxed
# Offset from the most stable computed form ... 0.071 eV per atom
data_MgH3Pd3
_space_group_name_H-M_alt 'R -3'
_space_group_IT_number 148
_space_group_name_Hall '-R 3'
_cell_length_a 5.1788
_cell_length_b 5.1788
_cell_length_c 20.0902
_cell_angle_alpha 90.00
_cell_angle_beta 90.00
_cell_angle_gamma 120.00
loop_
_atom_site_label
_atom_site_type_symbol
_atom_site_fract_x
_atom_site_fract_y
_atom_site_fract_z
Mg1 Mg 0.0000 0.0000 0.1666
H1 H 0.0005 0.3231 0.5774
Pd1 Pd 0.0007 0.3393 0.3935

3.
# AgS2Br8 | Alexandria | PBE-GGA | relaxed
# E_form (uncorrected) ... 0.05 eV/atom
data_AgS2Br8
_space_group_name_H-M_alt 'C 1 2/m 1'
_space_group_IT_number 12
_cell_length_a 13.3116
_cell_length_b 8.6645
_cell_length_c 7.7416
_cell_angle_alpha 90.00
_cell_angle_beta 94.39
_cell_angle_gamma 90.00
loop_
_space_group_symop_operation_xyz
'x,y,z'
'-x,-y,-z'
'-x,y,-z'
'x,-y,z'
'x+1/2,y+1/2,z'
'-x+1/2,-y+1/2,-z'
'-x+1/2,y+1/2,-z'
'x+1/2,-y+1/2,z'
loop_
_atom_site_label
_atom_site_type_symbol
_atom_site_fract_x
_atom_site_fract_y
_atom_site_fract_z
Ag1 Ag 0.0000 0.0000 0.0000
S1 S 0.2113 0.0000 0.5808
Br1 Br 0.0833 0.2040 0.8343
Br2 Br 0.1470 0.5000 0.2594
Br3 Br 0.2436 0.5000 0.6885

4.
# Zr2WC | Alexandria | PBE-GGA | relaxed
# DFT formation energy ... 229 meV per atom
data_Zr2WC
_space_group_name_H-M_alt 'C m m 2'
_space_group_IT_number 35
_cell_length_a 3.2143
_cell_length_b 5.0544
_cell_length_c 8.2408
_cell_angle_alpha 90.00
_cell_angle_beta 90.00
_cell_angle_gamma 90.00
loop_
_space_group_symop_operation_xyz
'x,y,z'
'-x,-y,z'
'-x,y,z'
'x,-y,z'
'x+1/2,y+1/2,z'
'-x+1/2,-y+1/2,z'
'-x+1/2,y+1/2,z'
'x+1/2,-y+1/2,z'
loop_
_atom_site_label
_atom_site_type_symbol
_atom_site_fract_x
_atom_site_fract_y
_atom_site_fract_z
Zr1 Zr 0.0000 0.0000 0.0000
Zr2 Zr 0.0000 0.5000 0.3346
W1 W 0.0000 0.5000 0.6988
C1 C 0.0000 0.0000 0.5356

5.
# CaTaTe2 | Alexandria | PBE-GGA | relaxed
# Offset from the most stable computed form ... 0.427 eV per atom
# E_form (uncorrected) ... -0.05 eV/atom
data_CaTaTe2
_space_group_name_H-M_alt 'C m m 2'
_space_group_IT_number 35
_cell_length_a 4.0827
_cell_length_b 5.1522
_cell_length_c 10.8971
_cell_angle_alpha 90.00
_cell_angle_beta 90.00
_cell_angle_gamma 90.00
loop_
_space_group_symop_operation_xyz
'x,y,z'
'-x,-y,z'
'-x,y,z'
'x,-y,z'
'x+1/2,y+1/2,z'
'-x+1/2,-y+1/2,z'
'-x+1/2,y+1/2,z'
'x+1/2,-y+1/2,z'
loop_
_atom_site_label
_atom_site_type_symbol
_atom_site_fract_x
_atom_site_fract_y
_atom_site_fract_z
Ca1 Ca 0.0000 0.0000 0.0000
Ta1 Ta 0.0000 0.5000 0.7684
Te1 Te 0.0000 0.0000 0.5948
Te2 Te 0.0000 0.5000 0.2236

6.
# Te2AsS5 | Alexandria | PBE-GGA | relaxed
# E_form (uncorrected) ... 0.13 eV/atom
data_Te2AsS5
_space_group_name_H-M_alt 'C 1 m 1'
_space_group_IT_number 8
_cell_length_a 14.4781
_cell_length_b 6.8697
_cell_length_c 7.5849
_cell_angle_alpha 90.00
_cell_angle_beta 117.19
_cell_angle_gamma 90.00
loop_
_space_group_symop_operation_xyz
'x,y,z'
'x,-y,z'
'x+1/2,y+1/2,z'
'x+1/2,-y+1/2,z'
loop_
_atom_site_label
_atom_site_type_symbol
_atom_site_fract_x
_atom_site_fract_y
_atom_site_fract_z
Te1 Te 0.0000 0.0000 0.0000
Te2 Te 0.0634 0.5000 0.3743
As1 As 0.4954 0.5000 0.4887
S1 S 0.1116 0.2395 0.6477
S2 S 0.3886 0.5000 0.6442
S3 S 0.4278 0.2355 0.1026

7.
# KTaCd2I | Alexandria | PBE-GGA | relaxed
# E_form (uncorrected) ... 1.38 eV/atom
data_KTaCd2I
_space_group_name_H-M_alt 'P 4/m m m'
_space_group_IT_number 123
_space_group_name_Hall '-P 4 2'
_cell_length_a 6.5516
_cell_length_b 6.5516
_cell_length_c 6.3202
_cell_angle_alpha 90.00
_cell_angle_beta 90.00
_cell_angle_gamma 90.00
loop_
_atom_site_label
_atom_site_type_symbol
_atom_site_fract_x
_atom_site_fract_y
_atom_site_fract_z
K1 K 0.0000 0.0000 0.0000
Ta1 Ta 0.5000 0.5000 0.5000
Cd1 Cd 0.0000 0.5000 0.0000
I1 I 0.0000 0.0000 0.5000

8.
# Na2VBr | Alexandria | PBE-GGA | relaxed
# Offset from the most stable computed form ... 0.000 eV per atom
# E_form (uncorrected) ... 0.26 eV/atom
data_Na2VBr
_space_group_name_H-M_alt 'I -4 2 d'
_space_group_IT_number 122
_space_group_name_Hall 'I -4 2bw'
_cell_length_a 10.0669
_cell_length_b 10.0669
_cell_length_c 5.0873
_cell_angle_alpha 90.00
_cell_angle_beta 90.00
_cell_angle_gamma 90.00
loop_
_atom_site_label
_atom_site_type_symbol
_atom_site_fract_x
_atom_site_fract_y
_atom_site_fract_z
Na1 Na 0.1434 0.7500 0.1250
V1 V 0.0000 0.0000 0.5000
Br1 Br 0.0000 0.0000 0.0000

9.
# Ta2TlZn | Alexandria | PBE-GGA | relaxed
# DFT formation energy ... 339 meV per atom
data_Ta2TlZn
_space_group_name_H-M_alt 'P 1 2/m 1'
_space_group_IT_number 10
_cell_length_a 2.9009
_cell_length_b 4.4387
_cell_length_c 5.7463
_cell_angle_alpha 90.00
_cell_angle_beta 96.23
_cell_angle_gamma 90.00
loop_
_space_group_symop_operation_xyz
'x,y,z'
'-x,-y,-z'
'-x,y,-z'
'x,-y,z'
loop_
_atom_site_label
_atom_site_type_symbol
_atom_site_fract_x
_atom_site_fract_y
_atom_site_fract_z
Ta1 Ta 0.0385 0.0000 0.2659
Tl1 Tl 0.5000 0.5000 0.0000
Zn1 Zn 0.5000 0.5000 0.5000

10.
# TiPdC2 | Alexandria | PBE-GGA | relaxed
# Offset from the most stable computed form ... 0.000 eV per atom
# DFT formation energy ... 660 meV per atom
data_TiPdC2
_space_group_name_H-M_alt 'I -4 2 d'
_space_group_IT_number 122
_space_group_name_Hall 'I -4 2bw'
_cell_length_a 4.6201
_cell_length_b 4.6201
_cell_length_c 9.8291
_cell_angle_alpha 90.00
_cell_angle_beta 90.00
_cell_angle_gamma 90.00
loop_
_atom_site_label
_atom_site_type_symbol
_atom_site_fract_x
_atom_site_fract_y
_atom_site_fract_z
Ti1 Ti 0.0000 0.0000 0.0000
Pd1 Pd 0.0000 0.0000 0.5000
C1 C 0.2455 0.2500 0.6250

11.
# LaZnIn | Alexandria | PBE-GGA | relaxed
# DFT formation energy ... -438 meV per atom
data_LaZnIn
_space_group_name_H-M_alt 'P 63/m m c'
_space_group_IT_number 194
_space_group_name_Hall '-P 6c 2c'
_cell_length_a 5.1939
_cell_length_b 5.1939
_cell_length_c 6.5596
_cell_angle_alpha 90.00
_cell_angle_beta 90.00
_cell_angle_gamma 120.00
loop_
_atom_site_label
_atom_site_type_symbol
_atom_site_fract_x
_atom_site_fract_y
_atom_site_fract_z
La1 La 0.3333 0.6667 0.2500
Zn1 Zn 0.3333 0.6667 0.7500
In1 In 0.0000 0.0000 0.0000

12.
# TcSbHSeF | Alexandria | PBE-GGA | relaxed
# Offset from the most stable computed form ... 0.089 eV per atom
data_TcSbHSeF
_space_group_name_H-M_alt 'P 1'
_space_group_IT_number 1
_cell_length_a 3.2407
_cell_length_b 4.0846
_cell_length_c 7.1787
_cell_angle_alpha 93.57
_cell_angle_beta 91.73
_cell_angle_gamma 111.18
loop_
_space_group_symop_operation_xyz
'x,y,z'
loop_
_atom_site_label
_atom_site_type_symbol
_atom_site_fract_x
_atom_site_fract_y
_atom_site_fract_z
Tc1 Tc 0.0000 0.0000 0.0000
Sb1 Sb 0.8500 0.5093 0.2772
H1 H 0.4455 0.8652 0.0947
Se1 Se 0.6693 0.3896 0.8553
F1 F 0.3394 0.8076 0.4800